# 1
This record from Alexandria describes SmHf2Al9 after structural relaxation. The functional is GGA-PBE.

Summary:
As for the formation energy: -3.480 eV/f.u.

a b c (Å): 5.3773 5.3773 26.2087
angles (deg): 90.00 90.00 120.00
Last column: nearest neighbours and their distance in Å.
Space group R-3m (No. 166, hexagonal axes)
Unique sites:
Sm 0.0000 0.0000 0.0000 (multiplicity 3)  6 Al 3.10
Hf 0.0000 0.0000 0.1448 (multiplicity 6)  12 Al 3.07-3.16, 3 Hf 3.31
Al 0.0000 0.0000 0.3342 (multiplicity 6)  6 Al 2.76
Al 0.0000 0.0000 0.5000 (multiplicity 3)  6 Al 2.62
Al 0.0063 0.5032 0.9130 (multiplicity 18)  7 Al 2.62-2.76

# 2
This record from Alexandria describes FeCoAg2 after structural relaxation. The functional is GGA-PBE.

Summary:
As for the formation energy: 1.389 eV/f.u.

a b c (Å): 9.6012 2.9047 4.6171
angles (deg): 90.00 112.00 90.00
Last column: nearest neighbours and their distance in Å.
Space group Cm (No. 8)
Unique sites:
Fe 0.0000 0.0000 0.0000 (multiplicity 2)  2 Co 2.29
Co 0.3055 0.0000 0.7747 (multiplicity 2)  2 Fe 2.29
Ag 0.0451 0.5000 0.5398 (multiplicity 2)  4 Fe 2.74-2.78, 3 Co 2.74-2.89, 5 Ag 2.90-2.93
Ag 0.2660 0.5000 0.2428 (multiplicity 2)  4 Co 2.75, 3 Fe 2.78-2.86, 5 Ag 2.90-2.93

# 3
This record from Alexandria describes NaIrOs3 after structural relaxation. The functional is GGA-PBE.

Summary:
As for the formation energy: 15.167 eV/f.u. The relative energy among the computed polymorphs is 0.9123 eV/atom.

a b c (Å): 4.3372 4.3372 4.3372
angles (deg): 90.00 90.00 90.00
Last column: nearest neighbours and their distance in Å.
Space group Pm-3m (No. 221)
Unique sites:
Na 0.0000 0.0000 0.0000 (multiplicity 1)  6 Os 2.17
Ir 0.5000 0.5000 0.5000 (multiplicity 1)  12 Os 3.07
Os 0.0000 0.0000 0.5000 (multiplicity 3)  2 Na 2.17

# 4
This record from Alexandria describes InHg3 after structural relaxation. The functional is GGA-PBE.

Summary:
As for the formation energy: 0.028 eV/f.u.

a b c (Å): 7.4951 7.4951 7.4951
angles (deg): 90.00 90.00 90.00
Last column: nearest neighbours and their distance in Å.
Space group Fm-3m (No. 225)
Unique sites:
In 0.0000 0.0000 0.0000 (multiplicity 4)  8 Hg 3.25
Hg 0.0000 0.0000 0.5000 (multiplicity 4)  8 Hg 3.25
Hg 0.2500 0.2500 0.2500 (multiplicity 8)  4 Hg 3.25, 4 In 3.25

# 5
This record from Alexandria describes CaGa2Ag2 after structural relaxation. The functional is GGA-PBE.

Summary:
As for the formation energy: -1.165 eV/f.u.

a b c (Å): 4.2229 4.2229 12.0946
angles (deg): 90.00 90.00 90.00
Last column: nearest neighbours and their distance in Å.
Space group I4/mmm (No. 139)
Unique sites:
Ca 0.0000 0.0000 0.0000 (multiplicity 2)  8 Ag 3.28
Ga 0.0000 0.5000 0.2500 (multiplicity 4)  4 Ag 2.68, 4 Ga 2.99
Ag 0.0000 0.0000 0.3871 (multiplicity 4)  4 Ga 2.68, 1 Ag 2.73

# 6
This record from Alexandria describes ZnCd2Ru after structural relaxation. The functional is GGA-PBE.

Summary:
As for the formation energy: 0.650 eV/f.u.

a b c (Å): 3.3458 4.5251 9.2140
angles (deg): 90.00 90.00 90.00
Last column: nearest neighbours and their distance in Å.
Space group Imm2 (No. 44)
Unique sites:
Zn 0.0000 0.0000 0.0000 (multiplicity 2)  2 Ru 2.57, 4 Cd 2.83
Cd 0.0000 0.0000 0.5326 (multiplicity 2)  4 Zn 2.83, 2 Ru 2.89, 4 Cd 3.02-3.08
Cd 0.0000 0.5000 0.7594 (multiplicity 2)  4 Ru 2.83, 2 Zn 2.92, 4 Cd 3.02-3.08
Ru 0.0000 0.5000 0.2883 (multiplicity 2)  2 Zn 2.57, 4 Cd 2.83

no.,total DFT energy (no corrections) (eV/atom)
1,-5.15
2,-4.97
3,-5.74
4,-0.90
5,-2.98
6,-2.93